Below is crystalline Ca3Cu6P5 at its relaxed geometry, with properties calculated at the PBE level.

Output
ΔE_f = -0.577 eV per atom
Space-group type = Pmmn, No. 59

Geometry as POSCAR:
```
Ca3Cu6P5
1.0
3.870 0.000 0.000
0.000 9.925 0.000
0.000 0.000 11.800
Ca Cu P
6 12 10
Cartesian
0.000 2.453 7.769
0.000 2.453 4.030
1.935 7.472 9.930
0.000 2.451 0.000
1.935 7.474 5.900
1.935 7.472 1.869
0.000 0.056 9.810
1.935 3.824 9.609
0.000 0.056 1.990
1.935 9.869 7.890
1.935 5.016 0.000
1.935 3.824 2.191
0.000 6.102 3.709
1.935 9.869 3.910
0.000 4.910 5.900
1.935 0.110 0.000
0.000 9.815 5.900
0.000 6.102 8.091
1.935 4.838 4.371
0.000 8.460 7.911
1.935 1.465 9.789
0.000 5.087 10.271
0.000 5.087 1.529
0.000 8.676 0.000
1.935 1.249 5.900
1.935 1.465 2.011
1.935 4.838 7.429
0.000 8.460 3.889
```